Density functional theory data (PBE) for an optimized crystal structure of HgRuI2O.

Calculated values
Formation energy from raw total energies, eV/atom: -0.13
Density of states at the Fermi level, states/eV per cell: 4.58
Magnetic moment, Bohr magnetons per cell: 0.379
ΔE to the lowest computed polymorph, eV/atom: 0.000

POSCAR file:
```
HgRuI2O
1.0
5.678 0.000 0.000
0.000 5.678 0.000
0.000 0.000 3.766
I Ru Hg O
2 1 1 1
Direct
0.000 0.500 0.000
0.500 0.000 0.000
0.000 0.000 0.000
0.500 0.500 0.500
0.000 0.000 0.500
```